[1]
Computed, not measured: an optimized crystal structure of AcMn3C3 at the PBE-GGA level of DFT.

The structure in POSCAR format:
```
AcMn3C3
1.0
-1.573 1.077 3.164
-5.196 4.054 -3.964
-1.410 -7.344 1.799
C Ac Mn
6 2 6
Direct
0.250 0.714 0.999
0.750 0.715 0.714
0.250 0.001 0.715
0.250 0.285 0.286
0.750 0.286 0.001
0.750 0.999 0.285
0.250 0.333 0.667
0.750 0.667 0.333
0.750 0.209 0.231
0.250 0.231 0.023
0.250 0.791 0.769
0.250 0.977 0.209
0.750 0.023 0.791
0.750 0.769 0.977
```

Formation energy in eV per atom: 0.12
Calculated volume in Å³/cell: 189.2
Crystal system: hexagonal
DOS(E_F) in states/eV/atom: 0.880


[2]
Computed, not measured: an optimized crystal structure of AcMn2C2 at the PBE-GGA level of DFT.

The structure in POSCAR format:
```
AcMn2C2
1.0
3.295 0.000 -1.231
-0.460 3.262 -1.231
0.380 0.437 6.041
Mn Ac C
2 1 2
Direct
0.750 0.250 0.500
0.250 0.750 0.500
0.000 0.000 0.000
0.333 0.333 0.667
0.667 0.667 0.333
```

Formation energy in eV per atom: -0.09
Calculated volume in Å³/cell: 68.5
Crystal system: tetragonal
DOS(E_F) in states/eV/atom: 0.793


[3]
Computed, not measured: an optimized crystal structure of AcMn2C3 at the PBE-GGA level of DFT.

The structure in POSCAR format:
```
AcMn2C3
1.0
-2.576 3.796 -1.934
-3.451 -4.248 -3.740
-1.680 1.674 5.523
Mn Ac C
4 2 6
Direct
0.500 0.190 0.000
0.000 0.810 0.000
0.000 0.190 0.000
0.500 0.810 0.000
0.750 0.288 0.576
0.250 0.712 0.424
0.250 0.326 0.866
0.750 0.924 0.848
0.250 0.076 0.152
0.750 0.674 0.134
0.750 0.461 0.134
0.250 0.539 0.866
```

Formation energy in eV per atom: -0.03
Calculated volume in Å³/cell: 165.5
Crystal system: orthorhombic
DOS(E_F) in states/eV/atom: 0.556


[4]
Computed, not measured: an optimized crystal structure of AcMnC2 at the PBE-GGA level of DFT.

The structure in POSCAR format:
```
AcMnC2
1.0
-3.104 -0.283 -2.825
-1.713 -2.806 2.163
-1.467 3.424 1.269
C Ac Mn
2 1 1
Direct
0.500 0.149 0.552
0.500 0.448 0.851
0.000 0.009 0.991
0.500 0.609 0.391
```

Formation energy in eV per atom: -0.05
Calculated volume in Å³/cell: 62.5
Crystal system: orthorhombic
DOS(E_F) in states/eV/atom: 0.294
Excess energy over the best structure of this formula in the dataset in meV per atom: 0.0


[5]
Computed, not measured: an optimized crystal structure of Ac2Mn2C3 at the PBE-GGA level of DFT.

The structure in POSCAR format:
```
Ac2Mn2C3
1.0
0.104 -3.577 -0.652
3.628 -1.014 -4.001
5.252 -2.181 2.654
Mn C Ac
2 3 2
Direct
0.801 0.325 0.073
0.199 0.675 0.927
0.217 0.374 0.192
0.000 0.000 0.000
0.783 0.626 0.808
0.432 0.815 0.322
0.568 0.185 0.678
```

Formation energy in eV per atom: -0.03
Calculated volume in Å³/cell: 110.1
Crystal system: monoclinic
DOS(E_F) in states/eV/atom: 0.789


[6]
Computed, not measured: an optimized crystal structure of AcMnC2 at the PBE-GGA level of DFT.

The structure in POSCAR format:
```
AcMnC2
1.0
3.439 0.000 0.000
1.719 2.978 0.000
1.719 0.993 5.520
Mn C Ac
1 2 1
Direct
0.000 0.000 0.000
0.718 0.718 0.846
0.282 0.282 0.154
0.500 0.500 0.500
```

Formation energy in eV per atom: 0.66
Calculated volume in Å³/cell: 56.5
Crystal system: trigonal
DOS(E_F) in states/eV/atom: 0.637
Excess energy over the best structure of this formula in the dataset in meV per atom: 713.6


| no. | density (g cm⁻³) |
| --- | --- |
| 1 | 7.5 |
| 2 | 8.8 |
| 3 | 7.5 |
| 4 | 8.1 |
| 5 | 9.0 |
| 6 | 9.0 |